Record 1
Below is a PBEsol-optimized structure of NiAg2As, with properties calculated at the SCAN level.

Cell and atoms, written as POSCAR:
```
NiAg2As
1.0
3.028 0.000 0.000
0.000 3.028 0.000
0.000 0.000 6.686
Ni Ag As
1 2 1
direct
0.000 0.000 0.000
0.000 0.000 0.538
0.500 0.500 0.261
0.500 0.500 0.839
```


Record 2
Below is a PBEsol-optimized structure of In2Se, with properties calculated at the SCAN level.

Cell and atoms, written as POSCAR:
```
In2Se
1.0
2.039 -6.331 0.000
2.039 6.331 0.000
0.000 0.000 5.981
In Se
4 2
direct
0.018 0.982 0.750
0.335 0.665 0.750
0.665 0.335 0.250
0.982 0.018 0.250
0.323 0.677 0.250
0.677 0.323 0.750
```


Record 3
Below is a PBEsol-optimized structure of CaTl2Au, with properties calculated at the SCAN level.

Cell and atoms, written as POSCAR:
```
CaTl2Au
1.0
3.743 0.000 0.000
0.000 4.300 0.000
-1.819 0.000 6.370
Ca Tl Au
1 2 1
direct
0.000 0.000 0.000
0.267 0.000 0.540
0.656 0.500 0.313
0.424 0.500 0.843
```


Record 4
Below is a PBEsol-optimized structure of Pm2PtRh, with properties calculated at the SCAN level.

Cell and atoms, written as POSCAR:
```
Pm2PtRh
1.0
0.000 3.494 3.494
3.494 0.000 3.494
3.494 3.494 0.000
Pm Pt Rh
2 1 1
direct
0.250 0.250 0.250
0.750 0.750 0.750
0.000 0.000 0.000
0.500 0.500 0.500
```


Record 5
Below is a PBEsol-optimized structure of TaSbPb2, with properties calculated at the SCAN level.

Cell and atoms, written as POSCAR:
```
TaSbPb2
1.0
5.092 0.000 0.000
0.000 5.092 0.000
0.000 0.000 3.680
Ta Sb Pb
1 1 2
direct
0.000 0.000 0.000
0.500 0.500 0.000
0.000 0.500 0.500
0.500 0.000 0.500
```


Record 6
Below is a PBEsol-optimized structure of NpRh3, with properties calculated at the SCAN level.

Cell and atoms, written as POSCAR:
```
NpRh3
1.0
3.951 0.000 0.000
0.000 3.951 0.000
0.000 0.000 3.951
Np Rh
1 3
direct
0.000 0.000 0.000
0.000 0.500 0.500
0.500 0.000 0.500
0.500 0.500 0.000
```


For each record above, in turn, the calculated total energy values are -99.04; -87.87; -225.29; -196.08; -252.54; -209.79 eV per formula unit.
For each record above, in turn, the calculated total moment values are 0.000; 0.000; 0.000; 0.000; 0.000; 1.131 μB per formula unit.